An optimized crystal structure of LaNpNiO6. Source: Alexandria via LeMat-Bulk, functional PBE+U.

The crystal system is trigonal. Its magnetization is 1.97 μB/f.u. As for the volume: 14.6 Å³ per atom. As for the mass density: 6.7 g/cm³. The value obtained for the total energy is -145.8 eV for the cell shown.

It has space group P-31c (No. 163), with a = 5.3496 Å, b = 5.3496 Å, c = 10.5927 Å, α = 90.00°, β = 90.00° and γ = 120.00°. The asymmetric unit holds La at (0.0000, 0.0000, 0.0000), Np at (0.3333, 0.6667, 0.2500), Ni at (0.3333, 0.6667, 0.7500) and O at (0.0096, 0.3635, 0.1426).